1 | First-principles (PBE) data for crystalline YReMo2 at its relaxed geometry, as listed in the Alexandria database.

The space group is Cmmm (No. 65) and the conventional cell measures 3.2440, 4.6840 and 9.3963 Å, with angles of 90.00, 90.00 and 90.00 degrees. Symmetry generates all atoms from Y at (0.0000, 0.0000, 0.0000), Re at (0.0000, 0.0000, 0.5000) and Mo at (0.0000, 0.5000, 0.2777).



2 | First-principles (PBE) data for crystalline YReMo2 at its relaxed geometry, as listed in the Alexandria database.

The space group is Pm (No. 6) and the conventional cell measures 2.9625, 4.3586 and 5.8083 Å, with angles of 90.00, 101.59 and 90.00 degrees. Symmetry generates all atoms from Y at (0.0000, 0.0000, 0.0000), Re at (0.2645, 0.5000, 0.7077), Mo at (0.5069, 0.0000, 0.5064) and Mo at (0.7393, 0.5000, 0.2982).



3 | First-principles (PBE) data for crystalline YReMo2 at its relaxed geometry, as listed in the Alexandria database.

The space group is P2/m (No. 10) and the conventional cell measures 2.9298, 4.4526 and 5.6318 Å, with angles of 90.00, 100.98 and 90.00 degrees. Symmetry generates all atoms from Y at (0.0000, 0.0000, 0.0000), Re at (0.5000, 0.0000, 0.5000) and Mo at (0.2493, 0.5000, 0.7144).



4 | First-principles (PBE) data for crystalline YReMo2 at its relaxed geometry, as listed in the Alexandria database.

The space group is F-43m (No. 216) and the conventional cell measures 6.5490, 6.5490 and 6.5490 Å, with angles of 90.00, 90.00 and 90.00 degrees. Symmetry generates all atoms from Y at (0.0000, 0.0000, 0.0000), Re at (0.2500, 0.2500, 0.2500), Mo at (0.0000, 0.0000, 0.5000) and Mo at (0.2500, 0.2500, 0.7500).



Most stable = 4



1 | First-principles (PBE) data for crystalline Y2ReMo at its relaxed geometry, as listed in the Alexandria database.

The space group is P4/mmm (No. 123) and the conventional cell measures 4.1593, 4.1593 and 4.7971 Å, with angles of 90.00, 90.00 and 90.00 degrees. Symmetry generates all atoms from Y at (0.0000, 0.5000, 0.0000), Re at (0.0000, 0.0000, 0.5000) and Mo at (0.5000, 0.5000, 0.5000).



2 | First-principles (PBE) data for crystalline Y2ReMo at its relaxed geometry, as listed in the Alexandria database.

The space group is F-43m (No. 216) and the conventional cell measures 6.8663, 6.8663 and 6.8663 Å, with angles of 90.00, 90.00 and 90.00 degrees. Symmetry generates all atoms from Y at (0.0000, 0.0000, 0.0000), Y at (0.2500, 0.2500, 0.2500), Re at (0.2500, 0.2500, 0.7500) and Mo at (0.0000, 0.0000, 0.5000).



Most stable = 2



1 | First-principles (PBE) data for crystalline Y2ReMo at its relaxed geometry, as listed in the Alexandria database.

The space group is Pm (No. 6) and the conventional cell measures 3.3086, 4.2696 and 6.6005 Å, with angles of 90.00, 103.42 and 90.00 degrees. Symmetry generates all atoms from Y at (0.0000, 0.0000, 0.0000), Y at (0.2729, 0.5000, 0.6486), Re at (0.5731, 0.0000, 0.4068) and Mo at (0.7121, 0.5000, 0.2416).



2 | First-principles (PBE) data for crystalline Y2ReMo at its relaxed geometry, as listed in the Alexandria database.

The space group is P4mm (No. 99) and the conventional cell measures 3.2316, 3.2316 and 8.7037 Å, with angles of 90.00, 90.00 and 90.00 degrees. Symmetry generates all atoms from Y at (0.0000, 0.0000, 0.0000), Y at (0.5000, 0.5000, 0.3729), Re at (0.5000, 0.5000, 0.7670) and Mo at (0.0000, 0.0000, 0.6136).



Most stable = 2



1 | First-principles (PBE) data for crystalline Y2ReMo at its relaxed geometry, as listed in the Alexandria database.

The space group is Imm2 (No. 44) and the conventional cell measures 3.4424, 5.0499 and 10.2486 Å, with angles of 90.00, 90.00 and 90.00 degrees. Symmetry generates all atoms from Y at (0.0000, 0.0000, 0.0000), Y at (0.0000, 0.5000, 0.2216), Re at (0.0000, 0.0000, 0.4556) and Mo at (0.0000, 0.5000, 0.7816).



2 | First-principles (PBE) data for crystalline Y2ReMo at its relaxed geometry, as listed in the Alexandria database.

The space group is Immm (No. 71) and the conventional cell measures 3.4619, 4.8821 and 9.6434 Å, with angles of 90.00, 90.00 and 90.00 degrees. Symmetry generates all atoms from Y at (0.0000, 0.0000, 0.2407), Re at (0.0000, 0.5000, 0.5000) and Mo at (0.0000, 0.5000, 0.0000).



3 | First-principles (PBE) data for crystalline Y2ReMo at its relaxed geometry, as listed in the Alexandria database.

The space group is R-3m (No. 166, hexagonal axes) and the conventional cell measures 3.2340, 3.2340 and 28.0136 Å, with angles of 90.00, 90.00 and 120.00 degrees. Symmetry generates all atoms from Y at (0.0000, 0.0000, 0.2462), Re at (0.0000, 0.0000, 0.5000) and Mo at (0.0000, 0.0000, 0.0000).



Most stable = 1



1 | First-principles (PBE) data for crystalline Y2Re2Mo at its relaxed geometry, as listed in the Alexandria database.

The space group is P4/mbm (No. 127) and the conventional cell measures 6.6170, 6.6170 and 4.8498 Å, with angles of 90.00, 90.00 and 90.00 degrees. Symmetry generates all atoms from Y at (0.1772, 0.3228, 0.0000), Re at (0.1298, 0.6298, 0.5000) and Mo at (0.0000, 0.0000, 0.5000).



2 | First-principles (PBE) data for crystalline Y2Re2Mo at its relaxed geometry, as listed in the Alexandria database.

The space group is I4/mmm (No. 139) and the conventional cell measures 3.5223, 3.5223 and 18.1948 Å, with angles of 90.00, 90.00 and 90.00 degrees. Symmetry generates all atoms from Y at (0.0000, 0.0000, 0.1046), Re at (0.0000, 0.5000, 0.2500) and Mo at (0.0000, 0.0000, 0.5000).



Most stable = 1



1 | First-principles (PBE) data for crystalline ZnRe3Mo at its relaxed geometry, as listed in the Alexandria database.

The space group is Pm-3m (No. 221) and the conventional cell measures 4.7105, 4.7105 and 4.7105 Å, with angles of 90.00, 90.00 and 90.00 degrees. Symmetry generates all atoms from Zn at (0.0000, 0.0000, 0.0000), Re at (0.0000, 0.5000, 0.5000) and Mo at (0.5000, 0.5000, 0.5000).



2 | First-principles (PBE) data for crystalline ZnRe3Mo at its relaxed geometry, as listed in the Alexandria database.

The space group is Pm-3m (No. 221) and the conventional cell measures 4.4285, 4.4285 and 4.4285 Å, with angles of 90.00, 90.00 and 90.00 degrees. Symmetry generates all atoms from Zn at (0.0000, 0.0000, 0.0000), Re at (0.0000, 0.0000, 0.5000) and Mo at (0.5000, 0.5000, 0.5000).



Most stable = 2